(1)
! Pr2DyCu3 PBE-GGA relaxed; values from VASP
&SYSTEM
  ibrav = 0, nat = 12, ntyp = 3
/
ATOMIC_SPECIES
Pr 140.91 Pr.upf
Dy 162.50 Dy.upf
Cu 63.55 Cu.upf
ATOMIC_POSITIONS crystal
Pr 0.000 0.000 0.000
Pr 0.000 0.000 0.500
Pr 0.334 0.666 0.000
Pr 0.666 0.334 0.000
Dy 0.332 0.668 0.500
Dy 0.668 0.332 0.500
Cu 0.172 0.828 0.268
Cu 0.172 0.828 0.732
Cu 0.500 0.500 0.263
Cu 0.500 0.500 0.737
Cu 0.828 0.172 0.268
Cu 0.828 0.172 0.732
CELL_PARAMETERS angstrom
2.506 -7.557 0.000
2.506 7.557 0.000
0.000 0.000 7.222
! energy of formation from the pure elements = -3.7 kcal/mol of atoms
! size of the total moment = 0.000 μB per atom
! DFT total energy = -4.5685 eV/atom
! DOS(E_F) = 8.34 states/eV/cell

=====

(2)
! CdAg4Bi PBE-GGA relaxed; values from VASP
&SYSTEM
  ibrav = 0, nat = 6, ntyp = 3
/
ATOMIC_SPECIES
Cd 112.41 Cd.upf
Ag 107.87 Ag.upf
Bi 208.98 Bi.upf
ATOMIC_POSITIONS crystal
Cd 0.000 0.000 0.000
Ag 0.123 0.626 0.626
Ag 0.626 0.123 0.626
Ag 0.626 0.626 0.123
Ag 0.626 0.626 0.626
Bi 0.250 0.250 0.250
CELL_PARAMETERS angstrom
0.000 3.985 3.985
3.985 0.000 3.985
3.985 3.985 0.000
! energy of formation from the pure elements = 1.5 kcal/mol of atoms
! size of the total moment = 0.000 μB per atom
! DFT total energy = -2.6363 eV/atom
! DOS(E_F) = 3.38 states/eV/cell

=====

(3)
! Dy3CSO PBE-GGA relaxed; values from VASP
&SYSTEM
  ibrav = 0, nat = 12, ntyp = 4
/
ATOMIC_SPECIES
Dy 162.50 Dy.upf
C 12.01 C.upf
S 32.06 S.upf
O 16.00 O.upf
ATOMIC_POSITIONS crystal
Dy 0.078 0.250 0.360
Dy 0.197 0.750 0.014
Dy 0.371 0.750 0.663
Dy 0.629 0.250 0.337
Dy 0.803 0.250 0.986
Dy 0.922 0.750 0.640
C 0.154 0.250 0.661
C 0.846 0.750 0.339
S 0.353 0.750 0.339
S 0.647 0.250 0.661
O 0.092 0.250 0.096
O 0.908 0.750 0.904
CELL_PARAMETERS angstrom
7.693 0.000 0.000
0.000 3.676 0.000
-1.509 0.000 8.435
! size of the total moment = 0.000 μB per atom
! DFT total energy = -7.0225 eV/atom
! DOS(E_F) = 1.61 states/eV/cell
! formation energy (no corrections) = -1.67 eV per atom

=====

(4)
! Dy5Lu PBE-GGA relaxed; values from VASP
&SYSTEM
  ibrav = 0, nat = 12, ntyp = 2
/
ATOMIC_SPECIES
Dy 162.50 Dy.upf
Lu 174.97 Lu.upf
ATOMIC_POSITIONS crystal
Dy 0.000 0.000 0.000
Dy 0.000 0.166 0.500
Dy 0.000 0.333 0.000
Dy 0.000 0.667 0.000
Dy 0.000 0.834 0.500
Dy 0.500 0.167 0.000
Dy 0.500 0.334 0.500
Dy 0.500 0.500 0.000
Dy 0.500 0.666 0.500
Dy 0.500 0.833 0.000
Lu 0.000 0.500 0.500
Lu 0.500 0.000 0.500
CELL_PARAMETERS angstrom
4.977 0.000 0.000
0.000 14.928 0.000
0.000 0.000 4.978
! energy of formation from the pure elements = 0.5 kcal/mol of atoms
! size of the total moment = 0.000 μB per atom
! DFT total energy = -4.5679 eV/atom
! DOS(E_F) = 15.75 states/eV/cell

=====

(5)
! ScTa2Cd PBE-GGA relaxed; values from VASP
&SYSTEM
  ibrav = 0, nat = 16, ntyp = 3
/
ATOMIC_SPECIES
Sc 44.96 Sc.upf
Ta 180.95 Ta.upf
Cd 112.41 Cd.upf
ATOMIC_POSITIONS crystal
Sc 0.000 0.000 0.000
Sc 0.000 0.500 0.500
Sc 0.500 0.000 0.500
Sc 0.500 0.500 0.000
Ta 0.000 0.000 0.500
Ta 0.000 0.500 0.000
Ta 0.250 0.250 0.750
Ta 0.250 0.750 0.250
Ta 0.500 0.000 0.000
Ta 0.500 0.500 0.500
Ta 0.750 0.250 0.250
Ta 0.750 0.750 0.750
Cd 0.250 0.250 0.250
Cd 0.250 0.750 0.750
Cd 0.750 0.250 0.750
Cd 0.750 0.750 0.250
CELL_PARAMETERS angstrom
6.775 0.000 0.000
0.000 6.775 0.000
0.000 0.000 6.775
! energy of formation from the pure elements = 5.4 kcal/mol of atoms
! size of the total moment = 0.000 μB per atom
! DFT total energy = -7.5042 eV/atom
! DOS(E_F) = 17.90 states/eV/cell

=====

(6)
! LaEr3Sc3 PBE-GGA relaxed; values from VASP
&SYSTEM
  ibrav = 0, nat = 14, ntyp = 3
/
ATOMIC_SPECIES
La 138.91 La.upf
Er 167.26 Er.upf
Sc 44.96 Sc.upf
ATOMIC_POSITIONS crystal
La 0.149 0.149 0.149
La 0.851 0.851 0.851
Er 0.071 0.564 0.228
Er 0.228 0.071 0.564
Er 0.436 0.772 0.929
Er 0.564 0.228 0.071
Er 0.772 0.929 0.436
Er 0.929 0.436 0.772
Sc 0.225 0.666 0.435
Sc 0.334 0.565 0.775
Sc 0.435 0.225 0.666
Sc 0.565 0.775 0.334
Sc 0.666 0.435 0.225
Sc 0.775 0.334 0.565
CELL_PARAMETERS angstrom
4.162 2.403 7.024
-4.162 2.403 7.024
0.000 -4.806 7.024
! energy of formation from the pure elements = 4.2 kcal/mol of atoms
! size of the total moment = 0.000 μB per atom
! DFT total energy = -5.1890 eV/atom
! DOS(E_F) = 23.51 states/eV/cell